No. 1
Here is CdCo2Si at its PBEsol-relaxed geometry from Alexandria via LeMat-Bulk. Energies are from SCAN.

Structure (POSCAR):
```
CdCo2Si
1.0
4.213 -1.364 0.000
4.213 1.364 0.000
-0.948 0.000 4.543
Cd Co Si
1 2 1
Direct
0.000 0.000 0.000 Cd
0.495 0.495 0.507 Co
0.759 0.759 0.251 Co
0.225 0.225 0.622 Si
```

Summary:
* crystal system: monoclinic
* SG: Cm
* polymorph energy (0 for the lowest one): 110 meV/atom
* total magnetization: 0.5615 μB/atom
* raw formation energy: 231 meV per atom

No. 2
Here is ZrZn22 at its PBEsol-relaxed geometry from Alexandria via LeMat-Bulk. Energies are from SCAN.

Structure (POSCAR):
```
ZrZn22
1.0
0.000 6.921 6.921
6.921 0.000 6.921
6.921 6.921 0.000
Zr Zn
2 44
Direct
0.125 0.125 0.125 Zr
0.875 0.875 0.875 Zr
0.000 0.000 0.000 Zn
0.000 0.000 0.500 Zn
0.000 0.500 0.000 Zn
0.000 0.500 0.500 Zn
0.057 0.319 0.319 Zn
0.057 0.319 0.804 Zn
0.057 0.804 0.319 Zn
0.196 0.681 0.681 Zn
0.196 0.681 0.943 Zn
0.196 0.943 0.681 Zn
0.235 0.235 0.515 Zn
0.235 0.515 0.235 Zn
0.235 0.515 0.515 Zn
0.319 0.057 0.319 Zn
0.319 0.057 0.804 Zn
0.319 0.319 0.057 Zn
0.319 0.319 0.804 Zn
0.319 0.804 0.057 Zn
0.319 0.804 0.319 Zn
0.485 0.485 0.765 Zn
0.485 0.765 0.485 Zn
0.485 0.765 0.765 Zn
0.500 0.000 0.000 Zn
0.500 0.000 0.500 Zn
0.500 0.500 0.000 Zn
0.500 0.500 0.500 Zn
0.515 0.235 0.235 Zn
0.515 0.235 0.515 Zn
0.515 0.515 0.235 Zn
0.681 0.196 0.681 Zn
0.681 0.196 0.943 Zn
0.681 0.681 0.196 Zn
0.681 0.681 0.943 Zn
0.681 0.943 0.196 Zn
0.681 0.943 0.681 Zn
0.765 0.485 0.485 Zn
0.765 0.485 0.765 Zn
0.765 0.765 0.485 Zn
0.804 0.057 0.319 Zn
0.804 0.319 0.057 Zn
0.804 0.319 0.319 Zn
0.943 0.196 0.681 Zn
0.943 0.681 0.196 Zn
0.943 0.681 0.681 Zn
```

Summary:
* energy of formation: -0.0863 eV per atom
* crystal system: cubic
* SG: Fd-3m
* total magnetization: 0.0000 μB/atom

No. 3
Here is Ba2TeRu at its PBEsol-relaxed geometry from Alexandria via LeMat-Bulk. Energies are from SCAN.

Structure (POSCAR):
```
Ba2TeRu
1.0
2.284 1.318 8.630
-2.284 1.318 8.630
0.000 -2.637 8.630
Ba Te Ru
2 1 1
Direct
0.000 0.000 0.000 Ba
0.163 0.163 0.163 Ba
0.415 0.415 0.415 Te
0.749 0.749 0.749 Ru
```

Summary:
* crystal system: trigonal
* SG: R3m
* total magnetization: 0.0074 μB/atom
* raw formation energy: -460 meV per atom

No. 4
Here is MgFeO3 at its PBEsol-relaxed geometry from Alexandria via LeMat-Bulk. Energies are from SCAN.

Structure (POSCAR):
```
MgFeO3
1.0
2.450 1.415 4.519
-2.450 1.415 4.519
0.000 -2.829 4.519
Mg Fe O
2 2 6
Direct
0.140 0.140 0.140 Mg
0.860 0.860 0.860 Mg
0.341 0.341 0.341 Fe
0.659 0.659 0.659 Fe
0.061 0.454 0.715 O
0.285 0.939 0.546 O
0.454 0.715 0.061 O
0.546 0.285 0.939 O
0.715 0.061 0.454 O
0.939 0.546 0.285 O
```

Summary:
* crystal system: trigonal
* SG: R-3
* total magnetization: 0.4000 μB/atom
* raw formation energy: -2097 meV per atom

| no. | raw total energy (eV/atom) |
| --- | --- |
| 1 | -18.529 |
| 2 | -14.349 |
| 3 | -38.255 |
| 4 | -10.456 |